No. 1
This record from OQMD via LeMat-Bulk describes a geometry-optimized SrBeFe structure. The functional is PBE-GGA.

## Properties
**Symmetry**: F-43m (216)
**Crystal system**: cubic
**Electronic total energy**: -10.8 eV per formula unit

Lattice parameters (Å, degrees): 4.6018 4.6018 4.6018 60.00 60.00 60.00
Last column: nearest neighbours and their distance in Å.
Fractional coordinates of all 3 atoms:
Fe1 0.2500 0.2500 0.2500  4 Be 2.82
Sr1 0.7500 0.7500 0.7500  4 Be 2.82
Be1 0.0000 0.0000 0.0000  4 Fe 2.82, 4 Sr 2.82



No. 2
This record from OQMD via LeMat-Bulk describes a geometry-optimized K2Lu2O5 structure. The functional is PBE-GGA.

## Properties
**Symmetry**: P4/mmm (123)
**Crystal system**: tetragonal
**Electronic total energy**: -43.8 eV per formula unit

Lattice parameters (Å, degrees): 7.1337 4.3124 4.3124 90.00 90.00 90.00
Last column: nearest neighbours and their distance in Å.
Fractional coordinates of all 9 atoms:
O1 0.1978 0.5000 0.0000  2 K 2.16
O2 0.5000 0.5000 0.5000  2 K 2.23
O3 0.8022 0.5000 0.0000  2 K 2.16
O4 0.1978 0.0000 0.5000  2 K 2.16
O5 0.8022 0.0000 0.5000  2 K 2.16
K1 0.1868 0.5000 0.5000  5 O 2.16-2.23
K2 0.8132 0.5000 0.5000  5 O 2.16-2.23
Lu1 0.0000 0.0000 0.0000  8 O 2.58
Lu2 0.5000 0.0000 0.0000  12 O 3.05



Which value of electronic total energy does entry 2 give?
-43.8 eV per formula unit



Which formula does entry 2 have?
K2Lu2O5